No. 1
DFT (PBE-GGA) results for a geometry-optimized La2InAgRh structure.

The calculation puts the total energy at -5.1042 eV per atom. The calculation puts the volume at 263.6 Å³/cell. The formation energy comes out at -545 meV per atom. As for the crystal system: monoclinic. The mass density comes out at 7.60 g/cm³.

It has space group P2_1/m (No. 11), with a = 7.781 Å, b = 4.343 Å, c = 8.396 Å, α = 90.00°, β = 111.71° and γ = 90.00°. The inequivalent atoms are La at (0.026, 0.250, 0.222), La at (0.350, 0.750, 0.613), In at (0.345, 0.250, 0.955), Ag at (0.324, 0.750, 0.188) and Rh at (0.109, 0.250, 0.616).

No. 2
DFT (PBE-GGA) results for a geometry-optimized Ba2SrGe2S6 structure.

The calculation puts the total energy at -4.8550 eV per atom. The calculation puts the volume at 639.9 Å³/cell. As for the crystal system: monoclinic. The mass density comes out at 3.63 g/cm³. The uncorrected formation energy is -1.26 eV per atom.

It has space group C2/m (No. 12), with a = 11.708 Å, b = 7.313 Å, c = 8.094 Å, α = 90.00°, β = 112.57° and γ = 90.00°. The inequivalent atoms are Ba at (0.192, 0.000, 0.163), Sr at (0.000, 0.000, 0.500), Ge at (0.029, 0.500, 0.359), S at (0.065, 0.253, 0.804) and S at (0.228, 0.500, 0.419).

Which value of mass density does entry 2 give?
3.63 g/cm³

What did the first record say?
DFT (PBE-GGA) results for a geometry-optimized La2InAgRh structure.

The calculation puts the total energy at -5.1042 eV per atom. The calculation puts the volume at 263.6 Å³/cell. The formation energy comes out at -545 meV per atom. As for the crystal system: monoclinic. The mass density comes out at 7.60 g/cm³.

It has space group P2_1/m (No. 11), with a = 7.781 Å, b = 4.343 Å, c = 8.396 Å, α = 90.00°, β = 111.71° and γ = 90.00°. The inequivalent atoms are La at (0.026, 0.250, 0.222), La at (0.350, 0.750, 0.613), In at (0.345, 0.250, 0.955), Ag at (0.324, 0.750, 0.188) and Rh at (0.109, 0.250, 0.616).